# Ce6Ge5Sb

An optimized crystal structure of Ce6Ge5Sb (GGA-PBE, Alexandria).

a = 7.402 Å, b = 7.402 Å, c = 7.407 Å
α = 99.60°, β = 99.60°, γ = 119.98°
Sites, in units of the cell vectors:
Ce (0.071, 0.414, 0.743)
Ce (0.241, 0.241, 0.253)
Ce (0.414, 0.071, 0.743)
Ce (0.586, 0.929, 0.257)
Ce (0.759, 0.759, 0.747)
Ce (0.929, 0.586, 0.257)
Ge (0.000, 0.000, 0.500)
Ge (0.167, 0.833, 0.000)
Ge (0.339, 0.661, 0.500)
Ge (0.661, 0.339, 0.500)
Ge (0.833, 0.167, 0.000)
Sb (0.500, 0.500, 0.000)

## Properties
Uncorrected energy in eV per atom: -5.9456
Space group: No. 12
Energy relative to the elements, uncorrected in meV/atom: -711.2

# ScPa2MnN5

An optimized crystal structure of ScPa2MnN5 (GGA-PBE, Alexandria).

a = 6.723 Å, b = 6.723 Å, c = 10.123 Å
α = 90.00°, β = 90.00°, γ = 151.62°
Sites, in units of the cell vectors:
Sc (0.204, 0.796, 0.500)
Sc (0.796, 0.204, 0.000)
Pa (0.106, 0.894, 0.177)
Pa (0.145, 0.855, 0.795)
Pa (0.855, 0.145, 0.295)
Pa (0.894, 0.106, 0.677)
Mn (0.478, 0.522, 0.952)
Mn (0.522, 0.478, 0.452)
N (0.046, 0.954, 0.555)
N (0.279, 0.721, 0.160)
N (0.326, 0.674, 0.860)
N (0.371, 0.629, 0.492)
N (0.484, 0.516, 0.270)
N (0.516, 0.484, 0.770)
N (0.629, 0.371, 0.992)
N (0.674, 0.326, 0.360)
N (0.721, 0.279, 0.660)
N (0.954, 0.046, 0.055)

## Properties
Uncorrected energy in eV per atom: -9.7760
Space group: No. 36
Energy relative to the elements, uncorrected in meV/atom: -1318.3

# LiMgZr2Ni

An optimized crystal structure of LiMgZr2Ni (GGA-PBE, Alexandria).

a = 5.165 Å, b = 5.165 Å, c = 4.333 Å
α = 90.00°, β = 90.00°, γ = 90.00°
Sites, in units of the cell vectors:
Li (0.000, 0.000, 0.000)
Mg (0.500, 0.500, 0.500)
Zr (0.000, 0.500, 0.500)
Zr (0.500, 0.000, 0.500)
Ni (0.500, 0.500, 0.000)

## Properties
Uncorrected energy in eV per atom: -4.2059
Energy of formation in eV/f.u.: 5.357
Space group: No. 123

# BeFe2Ir

An optimized crystal structure of BeFe2Ir (GGA-PBE, Alexandria).

a = 4.458 Å, b = 4.458 Å, c = 2.610 Å
α = 90.00°, β = 90.00°, γ = 114.08°
Sites, in units of the cell vectors:
Be (0.000, 0.000, 0.000)
Fe (0.000, 0.500, 0.500)
Fe (0.500, 0.000, 0.500)
Ir (0.500, 0.500, 0.000)

## Properties
Uncorrected energy in eV per atom: -7.4431
Energy of formation in eV/f.u.: -0.260
Space group: No. 65

# Pm4Y7Er

An optimized crystal structure of Pm4Y7Er (GGA-PBE, Alexandria).

a = 6.575 Å, b = 6.865 Å, c = 9.130 Å
α = 85.51°, β = 77.21°, γ = 81.90°
Sites, in units of the cell vectors:
Pm (0.141, 0.315, 0.283)
Pm (0.339, 0.880, 0.694)
Pm (0.661, 0.120, 0.306)
Pm (0.859, 0.685, 0.717)
Y (0.009, 0.253, 0.952)
Y (0.177, 0.808, 0.361)
Y (0.315, 0.391, 0.619)
Y (0.500, 0.000, 0.000)
Y (0.685, 0.609, 0.381)
Y (0.823, 0.192, 0.639)
Y (0.991, 0.747, 0.048)
Er (0.500, 0.500, 0.000)

## Properties
Uncorrected energy in eV per atom: -5.6498
Energy of formation in eV/f.u.: 1.016
Space group: No. 2

# Ca3YPd4

An optimized crystal structure of Ca3YPd4 (GGA-PBE, Alexandria).

a = 3.528 Å, b = 3.528 Å, c = 14.176 Å
α = 90.00°, β = 90.00°, γ = 90.00°
Sites, in units of the cell vectors:
Ca (0.000, 0.000, 0.000)
Ca (0.000, 0.000, 0.248)
Ca (0.000, 0.000, 0.752)
Y (0.000, 0.000, 0.500)
Pd (0.500, 0.500, 0.125)
Pd (0.500, 0.500, 0.384)
Pd (0.500, 0.500, 0.616)
Pd (0.500, 0.500, 0.875)

## Properties
Uncorrected energy in eV per atom: -4.9023
Energy of formation in eV/f.u.: -5.978
Space group: No. 123

# EuMgSc2

An optimized crystal structure of EuMgSc2 (GGA-PBE, Alexandria).

a = 5.327 Å, b = 5.327 Å, c = 5.327 Å
α = 60.00°, β = 60.00°, γ = 60.00°
Sites, in units of the cell vectors:
Eu (0.000, 0.000, 0.000)
Mg (0.500, 0.500, 0.500)
Sc (0.250, 0.250, 0.250)
Sc (0.750, 0.750, 0.750)

## Properties
Uncorrected energy in eV per atom: -5.9783
Energy of formation in eV/f.u.: 0.619
Space group: No. 225

# TbPm3In4

An optimized crystal structure of TbPm3In4 (GGA-PBE, Alexandria).

a = 3.829 Å, b = 3.829 Å, c = 15.335 Å
α = 90.00°, β = 90.00°, γ = 90.00°
Sites, in units of the cell vectors:
Tb (0.000, 0.000, 0.000)
Pm (0.000, 0.000, 0.247)
Pm (0.000, 0.000, 0.500)
Pm (0.000, 0.000, 0.753)
In (0.500, 0.500, 0.119)
In (0.500, 0.500, 0.373)
In (0.500, 0.500, 0.627)
In (0.500, 0.500, 0.881)

## Properties
Uncorrected energy in eV per atom: -4.2228
Energy of formation in eV/f.u.: -3.946
Space group: No. 123